12
Lattice="-1.143 0.153 -3.636 2.657 -2.586 -0.896 -6.475 -11.345 -2.360" Properties=species:S:1:pos:R:3 comment="PBE Li2Cu7Sn2Ge, relaxed" formation_enthalpy_0k_ev_per_atom=0.01 pbc="T T T"
Li -1.669 -3.923 -1.606
Li -3.292 -9.856 -5.286
Sn -3.976 -8.559 -3.040
Sn -0.985 -5.220 -3.852
Cu -2.088 -7.521 -4.622
Cu 0.757 -1.217 -2.266
Cu -0.997 -2.453 -3.763
Cu -5.869 -9.953 -4.502
Cu 0.908 -3.826 -2.390
Cu -3.964 -11.326 -3.129
Cu -2.873 -6.258 -2.270
Ge 0.000 0.000 0.000